A geometry-optimized Hg3P2O8 structure, computed with PBE-GGA.

a = 9.7034 Å, b = 11.5125 Å, c = 6.4289 Å
α = 90.00°, β = 99.66°, γ = 90.00°
Closest atoms and distances in Å follow each position.
Sites, in units of the cell vectors:
Hg1 0.3446 0.3342 0.0889  2 O 2.15-2.18
Hg2 0.0404 0.6222 0.1745  2 O 2.14-2.15
Hg3 0.3009 0.8927 0.1747  2 O 2.09-2.10
Hg4 0.6991 0.3927 0.3253  2 O 2.09-2.10
Hg5 0.9596 0.1222 0.3255  2 O 2.14-2.15
Hg6 0.6554 0.8342 0.4111  2 O 2.15-2.18
Hg7 0.3446 0.1658 0.5889  2 O 2.15-2.18
Hg8 0.0404 0.8778 0.6745  2 O 2.14-2.15
Hg9 0.3009 0.6073 0.6747  2 O 2.09-2.10
Hg10 0.6991 0.1073 0.8253  2 O 2.09-2.10
Hg11 0.9596 0.3778 0.8255  2 O 2.14-2.15
Hg12 0.6554 0.6658 0.9111  2 O 2.15-2.18
O1 0.7200 0.4115 0.0083  1 P 1.56
O2 0.0376 0.8001 0.0792  1 P 1.58
O3 0.1408 0.0593 0.1018  1 P 1.52
O4 0.7862 0.7755 0.1333  1 P 1.56
O5 0.7002 0.1510 0.1431  1 P 1.57
O6 0.5075 0.6885 0.1768  1 P 1.53
O7 0.0834 0.4392 0.1941  1 P 1.56
O8 0.5494 0.9792 0.2350  1 P 1.56
O9 0.4506 0.4792 0.2650  1 P 1.56
O10 0.9166 0.9392 0.3059  1 P 1.56
O11 0.4925 0.1885 0.3232  1 P 1.53
O12 0.2998 0.6510 0.3569  1 P 1.57
O13 0.2138 0.2755 0.3667  1 P 1.56
O14 0.8592 0.5593 0.3982  1 P 1.52
O15 0.9624 0.3001 0.4208  1 P 1.58
O16 0.2800 0.9115 0.4917  1 P 1.56
O17 0.7200 0.0885 0.5083  1 P 1.56
O18 0.0376 0.6999 0.5792  1 P 1.58
O19 0.1408 0.4407 0.6018  1 P 1.52
O20 0.7862 0.7245 0.6333  1 P 1.56
O21 0.7002 0.3490 0.6431  1 P 1.57
O22 0.5075 0.8115 0.6768  1 P 1.53
O23 0.0834 0.0608 0.6941  1 P 1.56
O24 0.5494 0.5208 0.7350  1 P 1.56
O25 0.4506 0.0208 0.7650  1 P 1.56
O26 0.9166 0.5608 0.8059  1 P 1.56
O27 0.4925 0.3115 0.8232  1 P 1.53
O28 0.2998 0.8490 0.8569  1 P 1.57
O29 0.2138 0.2245 0.8667  1 P 1.56
O30 0.8592 0.9407 0.8982  1 P 1.52
O31 0.9624 0.1999 0.9208  1 P 1.58
O32 0.2800 0.5885 0.9917  1 P 1.56
P1 0.8985 0.8674 0.0966  4 O 1.52-1.58
P2 0.3907 0.6018 0.1970  4 O 1.53-1.57
P3 0.6093 0.1018 0.3030  4 O 1.53-1.57
P4 0.1015 0.3674 0.4034  4 O 1.52-1.58
P5 0.8985 0.6326 0.5966  4 O 1.52-1.58
P6 0.3907 0.8982 0.6970  4 O 1.53-1.57
P7 0.6093 0.3982 0.8030  4 O 1.53-1.57
P8 0.1015 0.1326 0.9034  4 O 1.52-1.58

Results
VASP energy (eV per cell): -276.0

---

A geometry-optimized Hg3PO4 structure, computed with PBE-GGA.

a = 7.9754 Å, b = 8.1039 Å, c = 9.2500 Å
α = 90.00°, β = 109.50°, γ = 90.00°
Closest atoms and distances in Å follow each position.
Sites, in units of the cell vectors:
Hg1 0.8913 0.9000 0.0309  1 O 2.23
Hg2 0.5059 0.7164 0.0682  3 O 2.39-2.41, 1 Hg 2.56
Hg3 0.2611 0.5471 0.1205  1 O 2.16
Hg4 0.2389 0.0471 0.3795  1 O 2.16
Hg5 0.9941 0.2164 0.4318  3 O 2.39-2.41, 1 Hg 2.56
Hg6 0.6087 0.4000 0.4690  1 O 2.23
Hg7 0.3913 0.6000 0.5309  1 O 2.23
Hg8 0.0059 0.7836 0.5682  3 O 2.39-2.41, 1 Hg 2.56
Hg9 0.7611 0.9529 0.6205  1 O 2.16
Hg10 0.7389 0.4529 0.8795  1 O 2.16
Hg11 0.4941 0.2836 0.9318  3 O 2.39-2.41, 1 Hg 2.56
Hg12 0.1087 0.1000 0.9691  1 O 2.23
O1 0.8178 0.6640 0.1178  1 P 1.58
O2 0.4100 0.1868 0.1435  1 P 1.56
O3 0.6556 0.9700 0.1617  1 P 1.54
O4 0.0483 0.4345 0.1820  1 P 1.57
O5 0.4517 0.9345 0.3180  1 P 1.57
O6 0.8444 0.4700 0.3383  1 P 1.54
O7 0.0900 0.6868 0.3565  1 P 1.56
O8 0.6822 0.1640 0.3822  1 P 1.58
O9 0.3178 0.8360 0.6178  1 P 1.58
O10 0.9100 0.3132 0.6435  1 P 1.56
O11 0.1556 0.5300 0.6617  1 P 1.54
O12 0.5483 0.0655 0.6820  1 P 1.57
O13 0.9517 0.5655 0.8180  1 P 1.57
O14 0.3444 0.0300 0.8382  1 P 1.54
O15 0.5900 0.8132 0.8565  1 P 1.56
O16 0.1822 0.3360 0.8822  1 P 1.58
P1 0.5487 0.0634 0.2465  4 O 1.54-1.58
P2 0.9513 0.5634 0.2535  4 O 1.54-1.58
P3 0.0487 0.4366 0.7465  4 O 1.54-1.58
P4 0.4513 0.9366 0.7535  4 O 1.54-1.58

Results
Offset from the most stable computed form (meV per atom): 0

---

A geometry-optimized PaHgPO structure, computed with PBE-GGA.

a = 4.0876 Å, b = 7.2536 Å, c = 5.5338 Å
α = 90.00°, β = 90.00°, γ = 90.00°
Closest atoms and distances in Å follow each position.
Sites, in units of the cell vectors:
Hg1 0.0000 0.5910 0.4420  2 P 2.64
Hg2 0.0000 0.4090 0.9420  2 P 2.64
O1 0.0000 0.1427 0.4383  2 Pa 2.11
O2 0.0000 0.8573 0.9383  2 Pa 2.11
P1 0.5000 0.8220 0.4367  2 Hg 2.64, 3 Pa 2.78-2.86
P2 0.5000 0.1780 0.9367  2 Hg 2.64, 3 Pa 2.78-2.86
Pa1 0.5000 0.2157 0.4370  2 O 2.11
Pa2 0.5000 0.7843 0.9370  2 O 2.11

Results
Offset from the most stable computed form (meV per atom): 61
Total moment (μB/cell): 0.0

---

A geometry-optimized PaHgPO structure, computed with PBE-GGA.

a = 4.4024 Å, b = 6.1358 Å, c = 6.3098 Å
α = 90.00°, β = 90.00°, γ = 90.00°
Closest atoms and distances in Å follow each position.
Sites, in units of the cell vectors:
Hg1 0.0000 0.1403 0.0532  2 P 2.70-2.73, 4 O 2.82-2.87
Hg2 0.0000 0.8597 0.5532  2 P 2.70-2.73, 4 O 2.82-2.87
O1 0.5000 0.0054 0.3128  2 Pa 2.18-2.20
O2 0.5000 0.9946 0.8128  2 Pa 2.18-2.20
P1 0.0000 0.4923 0.3179  2 Hg 2.70-2.73
P2 0.0000 0.5077 0.8179  2 Hg 2.70-2.73
Pa1 0.5000 0.7520 0.0700  2 O 2.18-2.20
Pa2 0.5000 0.2480 0.5700  2 O 2.18-2.20

Results
Offset from the most stable computed form (meV per atom): 198
Total moment (μB/cell): 1.8

---

A geometry-optimized PaHgPO structure, computed with PBE-GGA.

a = 5.8555 Å, b = 5.8555 Å, c = 4.7458 Å
α = 90.00°, β = 90.00°, γ = 90.00°
Closest atoms and distances in Å follow each position.
Sites, in units of the cell vectors:
Hg1 0.0000 0.5000 0.0118  2 P 2.37-2.38
Hg2 0.5000 0.0000 0.9882  2 P 2.37-2.38
O1 0.0000 0.0000 0.0000  2 Pa 2.37
O2 0.5000 0.5000 0.0000  2 Pa 2.37
P1 0.5000 0.0000 0.4874  2 Hg 2.37-2.38
P2 0.0000 0.5000 0.5126  2 Hg 2.37-2.38
Pa1 0.0000 0.0000 0.5000  2 O 2.37
Pa2 0.5000 0.5000 0.5000  2 O 2.37

Results
Offset from the most stable computed form (meV per atom): 366
Total moment (μB/cell): 2.0

---

A geometry-optimized PaHgPO structure, computed with PBE-GGA.

a = 3.9784 Å, b = 3.9784 Å, c = 9.8776 Å
α = 90.00°, β = 90.00°, γ = 90.00°
Closest atoms and distances in Å follow each position.
Sites, in units of the cell vectors:
Hg1 0.5000 0.0000 0.5000  4 Hg 2.81, 4 P 3.12
Hg2 0.0000 0.5000 0.5000  4 Hg 2.81, 4 P 3.12
O1 0.5000 0.0000 0.0000  4 Pa 2.40
O2 0.0000 0.5000 0.0000  4 Pa 2.40
P1 0.5000 0.5000 0.2567  4 Pa 3.06, 4 Hg 3.12, 4 O 3.22
P2 0.0000 0.0000 0.7433  4 Pa 3.06, 4 Hg 3.12, 4 O 3.22
Pa1 0.0000 0.0000 0.1358  4 O 2.40
Pa2 0.5000 0.5000 0.8642  4 O 2.40

Results
Offset from the most stable computed form (meV per atom): 0
Total moment (μB/cell): 1.3

---

A geometry-optimized HgPPbO structure, computed with PBE-GGA.

a = 4.0338 Å, b = 6.7707 Å, c = 6.9050 Å
α = 90.00°, β = 90.00°, γ = 90.00°
Closest atoms and distances in Å follow each position.
Sites, in units of the cell vectors:
Hg1 0.0000 0.6726 0.4905  2 O 2.50, 2 P 2.50-2.52
Hg2 0.0000 0.3274 0.9905  2 O 2.50, 2 P 2.50-2.52
O1 0.5000 0.8550 0.3735  2 Pb 2.25-2.34, 2 Hg 2.50
O2 0.5000 0.1450 0.8735  2 Pb 2.25-2.34, 2 Hg 2.50
P1 0.0000 0.3294 0.3552  2 Hg 2.50-2.52, 2 Pb 2.68
P2 0.0000 0.6706 0.8552  2 Hg 2.50-2.52, 2 Pb 2.68
Pb1 0.5000 0.8567 0.0348  2 O 2.25-2.34
Pb2 0.5000 0.1433 0.5348  2 O 2.25-2.34

Results
Offset from the most stable computed form (meV per atom): 78

---

A geometry-optimized HgPPbO structure, computed with PBE-GGA.

a = 4.4044 Å, b = 6.4530 Å, c = 6.3540 Å
α = 90.00°, β = 90.00°, γ = 90.00°
Closest atoms and distances in Å follow each position.
Sites, in units of the cell vectors:
Hg1 0.0000 0.8137 0.0053  2 P 2.44, 2 O 2.48
Hg2 0.0000 0.1863 0.5053  2 P 2.44, 2 O 2.48
O1 0.0000 0.8172 0.3963  2 Pb 2.32, 2 Hg 2.48
O2 0.0000 0.1828 0.8963  2 Pb 2.32, 2 Hg 2.48
P1 0.5000 0.3054 0.3899  2 Hg 2.44, 2 Pb 2.72-2.74
P2 0.5000 0.6946 0.8899  2 Hg 2.44, 2 Pb 2.72-2.74
Pb1 0.5000 0.7234 0.4625  2 O 2.32
Pb2 0.5000 0.2766 0.9625  2 O 2.32

Results
Offset from the most stable computed form (meV per atom): 34

---

A geometry-optimized HgPPbO structure, computed with PBE-GGA.

a = 4.7373 Å, b = 4.7373 Å, c = 8.9852 Å
α = 90.00°, β = 90.00°, γ = 90.00°
Closest atoms and distances in Å follow each position.
Sites, in units of the cell vectors:
Hg1 0.0000 0.5000 0.0365  4 O 2.39
Hg2 0.5000 0.0000 0.9635  4 O 2.39
O1 0.0000 0.0000 0.0000  4 Hg 2.39
O2 0.5000 0.5000 0.0000  4 Hg 2.39
P1 0.0000 0.5000 0.3393  1 Hg 2.72, 4 Pb 2.77
P2 0.5000 0.0000 0.6607  1 Hg 2.72, 4 Pb 2.77
Pb1 0.0000 0.0000 0.5000  4 P 2.77
Pb2 0.5000 0.5000 0.5000  4 P 2.77

Results
Offset from the most stable computed form (meV per atom): 385

---

A geometry-optimized HgPPbO structure, computed with PBE-GGA.

a = 4.1415 Å, b = 4.1415 Å, c = 9.9238 Å
α = 90.00°, β = 90.00°, γ = 90.00°
Closest atoms and distances in Å follow each position.
Sites, in units of the cell vectors:
Hg1 0.0000 0.0000 0.5000  4 P 2.69, 4 Hg 2.93
Hg2 0.5000 0.5000 0.5000  4 P 2.69, 4 Hg 2.93
O1 0.0000 0.0000 0.0000  4 Pb 2.37
O2 0.5000 0.5000 0.0000  4 Pb 2.37
P1 0.5000 0.0000 0.3263  4 Hg 2.69
P2 0.0000 0.5000 0.6737  4 Hg 2.69
Pb1 0.0000 0.5000 0.1167  4 O 2.37
Pb2 0.5000 0.0000 0.8833  4 O 2.37

Results
Offset from the most stable computed form (meV per atom): 0

---

A geometry-optimized HgPPdO structure, computed with PBE-GGA.

a = 3.6286 Å, b = 6.1529 Å, c = 6.2692 Å
α = 90.00°, β = 90.00°, γ = 90.00°
Closest atoms and distances in Å follow each position.
Sites, in units of the cell vectors:
Hg1 0.0000 0.3966 0.0147  2 O 2.49, 2 P 2.52-2.59
Hg2 0.0000 0.6034 0.5147  2 O 2.49, 2 P 2.52-2.59
O1 0.5000 0.7876 0.3111  2 Pd 2.03-2.07
O2 0.5000 0.2124 0.8111  2 Pd 2.03-2.07
P1 0.0000 0.2152 0.3875  2 Pd 2.35, 2 Hg 2.52-2.59
P2 0.0000 0.7848 0.8875  2 Pd 2.35, 2 Hg 2.52-2.59
Pd1 0.5000 0.9697 0.0408  2 O 2.03-2.07
Pd2 0.5000 0.0303 0.5408  2 O 2.03-2.07

Results
Offset from the most stable computed form (meV per atom): 0

---

A geometry-optimized HgPPdO structure, computed with PBE-GGA.

a = 3.9823 Å, b = 6.4477 Å, c = 5.7912 Å
α = 90.00°, β = 90.00°, γ = 90.00°
Closest atoms and distances in Å follow each position.
Sites, in units of the cell vectors:
Hg1 0.5000 0.8257 0.0063  2 O 2.34-2.47, 2 P 2.55
Hg2 0.5000 0.1743 0.5063  2 O 2.34-2.47, 2 P 2.55
O1 0.5000 0.8182 0.4321  2 Pd 2.10, 1 Hg 2.34
O2 0.5000 0.1818 0.9321  2 Pd 2.10, 1 Hg 2.34
P1 0.0000 0.3769 0.3489  2 Pd 2.30, 2 Hg 2.55
P2 0.0000 0.6231 0.8489  2 Pd 2.30, 2 Hg 2.55
Pd1 0.0000 0.7178 0.4667  2 O 2.10, 2 P 2.30
Pd2 0.0000 0.2822 0.9667  2 O 2.10, 2 P 2.30

Results
Offset from the most stable computed form (meV per atom): 70

---

A geometry-optimized HgPPdO structure, computed with PBE-GGA.

a = 4.3032 Å, b = 4.3032 Å, c = 8.4294 Å
α = 90.00°, β = 90.00°, γ = 90.00°
Closest atoms and distances in Å follow each position.
Sites, in units of the cell vectors:
Hg1 0.5000 0.0000 0.5000  4 P 2.66
Hg2 0.0000 0.5000 0.5000  4 P 2.66
O1 0.5000 0.0000 0.0000  4 Pd 2.19
O2 0.0000 0.5000 0.0000  4 Pd 2.19
P1 0.5000 0.5000 0.3151  1 Pd 2.25
P2 0.0000 0.0000 0.6849  1 Pd 2.25
Pd1 0.5000 0.5000 0.0488  4 O 2.19, 1 P 2.25
Pd2 0.0000 0.0000 0.9512  4 O 2.19, 1 P 2.25

Results
Offset from the most stable computed form (meV per atom): 228

---

A geometry-optimized HgPPdO structure, computed with PBE-GGA.

a = 4.3120 Å, b = 4.3120 Å, c = 7.3002 Å
α = 90.00°, β = 90.00°, γ = 90.00°
Closest atoms and distances in Å follow each position.
Sites, in units of the cell vectors:
Hg1 0.0000 0.5000 0.1103  4 O 2.30
Hg2 0.5000 0.0000 0.8897  4 O 2.30
O1 0.0000 0.0000 0.0000  4 Hg 2.30
O2 0.5000 0.5000 0.0000  4 Hg 2.30
P1 0.5000 0.0000 0.3546  4 Pd 2.40
P2 0.0000 0.5000 0.6454  4 Pd 2.40
Pd1 0.0000 0.0000 0.5000  4 P 2.40
Pd2 0.5000 0.5000 0.5000  4 P 2.40

Results
Offset from the most stable computed form (meV per atom): 42

---

A geometry-optimized HgPPtO structure, computed with PBE-GGA.

a = 4.3471 Å, b = 4.3471 Å, c = 8.5452 Å
α = 90.00°, β = 90.00°, γ = 90.00°
Closest atoms and distances in Å follow each position.
Sites, in units of the cell vectors:
Hg1 0.0000 0.0000 0.5000  4 P 2.68
Hg2 0.5000 0.5000 0.5000  4 P 2.68
O1 0.0000 0.0000 0.0000  4 Pt 2.23
O2 0.5000 0.5000 0.0000  4 Pt 2.23
P1 0.5000 0.0000 0.3164  1 Pt 2.22
P2 0.0000 0.5000 0.6836  1 Pt 2.22
Pt1 0.5000 0.0000 0.0569  1 P 2.22, 4 O 2.23
Pt2 0.0000 0.5000 0.9431  1 P 2.22, 4 O 2.23

Results
Offset from the most stable computed form (meV per atom): 315
Total moment (μB/cell): 0.0

---

A geometry-optimized HgPPtO structure, computed with PBE-GGA.

a = 3.9840 Å, b = 6.3581 Å, c = 5.9587 Å
α = 90.00°, β = 90.00°, γ = 90.00°
Closest atoms and distances in Å follow each position.
Sites, in units of the cell vectors:
Hg1 0.5000 0.3422 0.0107  2 O 2.41-2.52, 2 P 2.56
Hg2 0.5000 0.6578 0.5107  2 O 2.41-2.52, 2 P 2.56
O1 0.5000 0.2862 0.4298  2 Pt 2.08
O2 0.5000 0.7138 0.9298  2 Pt 2.08
P1 0.0000 0.8593 0.3456  2 Pt 2.28-2.29
P2 0.0000 0.1407 0.8456  2 Pt 2.28-2.29
Pt1 0.0000 0.2014 0.4679  2 O 2.08, 2 P 2.28-2.29
Pt2 0.0000 0.7986 0.9679  2 O 2.08, 2 P 2.28-2.29

Results
Offset from the most stable computed form (meV per atom): 64
Total moment (μB/cell): 0.0

---

A geometry-optimized HgPPtO structure, computed with PBE-GGA.

a = 4.2955 Å, b = 4.2955 Å, c = 7.9168 Å
α = 90.00°, β = 90.00°, γ = 90.00°
Closest atoms and distances in Å follow each position.
Sites, in units of the cell vectors:
Hg1 0.0000 0.5000 0.0939  4 O 2.27
Hg2 0.5000 0.0000 0.9061  4 O 2.27
O1 0.0000 0.0000 0.0000  4 Hg 2.27
O2 0.5000 0.5000 0.0000  4 Hg 2.27
P1 0.5000 0.0000 0.3623  4 Pt 2.41
P2 0.0000 0.5000 0.6377  4 Pt 2.41
Pt1 0.0000 0.0000 0.5000  4 P 2.41
Pt2 0.5000 0.5000 0.5000  4 P 2.41

Results
Offset from the most stable computed form (meV per atom): 0
Total moment (μB/cell): 0.0

---

A geometry-optimized HgPPtO structure, computed with PBE-GGA.

a = 3.2925 Å, b = 6.5828 Å, c = 6.8903 Å
α = 90.00°, β = 90.00°, γ = 90.00°
Closest atoms and distances in Å follow each position.
Sites, in units of the cell vectors:
Hg1 0.0000 0.8274 0.0038  2 O 2.47, 2 P 2.55-2.59
Hg2 0.0000 0.1726 0.5038  2 O 2.47, 2 P 2.55-2.59
O1 0.5000 0.3842 0.3294  1 Pt 1.99
O2 0.5000 0.6158 0.8294  1 Pt 1.99
P1 0.0000 0.8072 0.3795  2 Pt 2.26
P2 0.0000 0.1928 0.8795  2 Pt 2.26
Pt1 0.5000 0.3572 0.0413  1 O 1.99
Pt2 0.5000 0.6428 0.5413  1 O 1.99

Results
Offset from the most stable computed form (meV per atom): 26
Total moment (μB/cell): 0.0

---

A geometry-optimized RbHgPO structure, computed with PBE-GGA.

a = 3.8959 Å, b = 10.6975 Å, c = 4.4617 Å
α = 90.00°, β = 90.00°, γ = 90.00°
Closest atoms and distances in Å follow each position.
Sites, in units of the cell vectors:
Hg1 0.0000 0.3192 0.4455  1 O 2.04
Hg2 0.0000 0.6808 0.9455  1 O 2.04
O1 0.0000 0.1290 0.4051  1 Hg 2.04
O2 0.0000 0.8710 0.9051  1 Hg 2.04
P1 0.5000 0.4726 0.4867  2 P 2.31, 2 Hg 2.55
P2 0.5000 0.5274 0.9867  2 P 2.31, 2 Hg 2.55
Rb1 0.5000 0.8874 0.4167  6 O 2.93-3.24
Rb2 0.5000 0.1126 0.9167  6 O 2.93-3.24

Results
Offset from the most stable computed form (meV per atom): 0

---

A geometry-optimized RbHgPO structure, computed with PBE-GGA.

a = 4.4246 Å, b = 4.4246 Å, c = 9.3382 Å
α = 90.00°, β = 90.00°, γ = 90.00°
Closest atoms and distances in Å follow each position.
Sites, in units of the cell vectors:
Hg1 0.2500 0.2500 0.2258  1 P 2.58
Hg2 0.7500 0.7500 0.7742  1 P 2.58
O1 0.7500 0.2500 0.0000  4 P 2.26
O2 0.2500 0.7500 0.0000  4 P 2.26
P1 0.7500 0.7500 0.0510  4 O 2.26
P2 0.2500 0.2500 0.9490  4 O 2.26
Rb1 0.7500 0.2500 0.5000  4 Rb 3.13, 4 Hg 3.38
Rb2 0.2500 0.7500 0.5000  4 Rb 3.13, 4 Hg 3.38

Results
Offset from the most stable computed form (meV per atom): 573